The following is a DFT calculation (GGA-PBE) of a geometry-optimized Hf2Tc3Mo structure.

abc: 7.1796 7.1796 3.2061
angles: 90.00 90.00 142.93
Last column: nearest neighbours and their distance in Å.
Fractional coordinates of all 6 atoms:
Hf (0.1659, 0.8341, 0.0000)  8 Tc 2.77-2.87
Hf (0.8341, 0.1659, 0.0000)  8 Tc 2.77-2.87
Tc (0.0000, 0.0000, 0.5000)  4 Hf 2.77, 4 Mo 2.79
Tc (0.3405, 0.6595, 0.5000)  2 Mo 2.70, 6 Hf 2.79-2.87
Tc (0.6595, 0.3405, 0.5000)  2 Mo 2.70, 6 Hf 2.79-2.87
Mo (0.5000, 0.5000, 0.0000)  8 Tc 2.70-2.79

Summary:
Final energy ... -10.68 eV per atom
Theoretical density ... 12.5 Mg/m³
E_form ... -0.37 eV per atom